The following is a DFT calculation (GGA-PBEsol) of crystalline Cr2Ga2Ag at its relaxed geometry.

Summary:
The value obtained for the formation energy from the elements is 0.397 eV per atom. The calculation puts the density of states at the Fermi level at 3.4 states/eV per cell. The volume is 73.51 Å³ per cell. As for the space group: I4/mmm. As for the crystal system: tetragonal.

abc: 3.323 3.323 7.060
angles: 103.61 103.61 90.00
Positions (direct):
Cr: 0.250 0.750 0.500
Cr: 0.750 0.250 0.500
Ga: 0.395 0.395 0.790
Ga: 0.605 0.605 0.210
Ag: 0.000 0.000 0.000